Material: Ba2InPb
Method: DFT, PBE
State: relaxed

N(E_F)   2.5 states/eV/f.u.
Relative energy among the computed polymorphs   61 meV/atom
Magnetic moment   0.00 μB/f.u.
DFT formation energy   -445 meV/atom

a b c (Å): 6.1623 6.1623 4.1826
angles (deg): 90.00 90.00 90.00
Space group P4/mmm (No. 123)
Symmetry-distinct sites (fractional):
Ba1 0.0000 0.5000 0.0000 x2
In1 0.0000 0.0000 0.5000 x1
Pb1 0.5000 0.5000 0.5000 x1